Entry 1:
The following is a PBE calculation of a geometry-optimized MnSn2SbPt structure, from Alexandria via LeMat-Bulk.

Summary:
- Polymorph energy (0 for the lowest one): 198.0 meV/atom
- Theoretical density: 10.0 g cm⁻³
- Calculated total energy: -5.45 eV per atom
- DOS(E_F): 4.19 states/eV/cell
- E_form (uncorrected): 0.02 eV per atom

abc: 5.7619 4.4743 7.8689
angles: 90.00 90.53 90.00
Last column: nearest neighbours and their distance in Å.
Sites, in units of the cell vectors:
Mn 0.2756 0.0000 0.4528  3 Sb 2.65-2.66, 5 Sn 2.83-2.89
Mn 0.2756 0.5000 0.9528  3 Sb 2.65-2.66, 5 Sn 2.83-2.89
Sn 0.7752 0.0000 0.4500  3 Pt 2.79-2.80, 2 Mn 2.88, 3 Sn 3.11-3.12
Sn 0.7752 0.5000 0.9500  3 Pt 2.79-2.80, 2 Mn 2.88, 3 Sn 3.11-3.12
Sn 0.4766 0.0000 0.1183  2 Pt 2.74-3.02, 3 Mn 2.83-2.89
Sn 0.4766 0.5000 0.6183  2 Pt 2.74-3.02, 3 Mn 2.83-2.89
Sb 0.1879 0.0000 0.7836  3 Mn 2.65-2.66, 2 Pt 2.91
Sb 0.1879 0.5000 0.2836  3 Mn 2.65-2.66, 2 Pt 2.91
Pt 0.9527 0.0000 0.1195  5 Sn 2.74-3.02, 3 Sb 2.91-2.98
Pt 0.9527 0.5000 0.6195  5 Sn 2.74-3.02, 3 Sb 2.91-2.98

Entry 2:
The following is a PBE calculation of a geometry-optimized Sr2MnSb4Pt3 structure, from Alexandria via LeMat-Bulk.

Summary:
- Theoretical density: 9.0 g cm⁻³
- Calculated total energy: -5.41 eV per atom
- DOS(E_F): 4.27 states/eV/cell
- E_form (uncorrected): -0.69 eV per atom

abc: 4.6352 4.6352 11.1399
angles: 90.00 90.00 90.00
Last column: nearest neighbours and their distance in Å.
Sites, in units of the cell vectors:
Sr 0.5000 0.0000 0.2548  8 Sb 3.51-3.66, 6 Pt 3.57-3.58, 2 Mn 3.58
Sr 0.0000 0.5000 0.7452  8 Sb 3.51-3.66, 6 Pt 3.57-3.58, 2 Mn 3.58
Mn 0.5000 0.5000 0.5000  4 Sb 2.74
Sb 0.5000 0.5000 0.0000  4 Pt 2.73
Sb 0.0000 0.0000 0.0000  4 Pt 2.73
Sb 0.5000 0.0000 0.6315  3 Pt 2.67-2.74, 2 Mn 2.74
Sb 0.0000 0.5000 0.3685  3 Pt 2.67-2.74, 2 Mn 2.74
Pt 0.0000 0.0000 0.5000  4 Sb 2.74
Pt 0.5000 0.0000 0.8713  5 Sb 2.67-2.73
Pt 0.0000 0.5000 0.1287  5 Sb 2.67-2.73

Entry 3:
The following is a PBE calculation of a geometry-optimized MnSb2TePt structure, from Alexandria via LeMat-Bulk.

Summary:
- Polymorph energy (0 for the lowest one): 0.0 meV/atom
- Theoretical density: 8.7 g cm⁻³
- Calculated total energy: -4.75 eV per atom
- DOS(E_F): 3.18 states/eV/cell
- E_form (uncorrected): 0.57 eV per atom

abc: 4.8827 4.8827 4.9908
angles: 90.00 90.00 90.00
Last column: nearest neighbours and their distance in Å.
Sites, in units of the cell vectors:
Sb 0.0000 0.5000 0.0000  2 Mn 2.44
Sb 0.5000 0.0000 0.0000  2 Mn 2.44
Te 0.0000 0.0000 0.5000  2 Mn 2.50
Pt 0.5000 0.5000 0.5000  4 Te 3.45, 8 Sb 3.49
Mn 0.0000 0.0000 0.0000  4 Sb 2.44, 2 Te 2.50